Computed, not measured: crystalline LiMn2F7 at its relaxed geometry at the GGA+U level of DFT.

Results
**Theoretical density**: 2.90 Mg/m³
**Total energy**: -5.496 eV per atom
**Space group**: P2/c (13)
**Polymorph energy (0 for the lowest one)**: 46 meV/atom

```
LiMn2F7
1.0
5.444 0.000 0.000
0.000 5.493 0.000
-1.861 0.000 9.572
Li Mn F
2 4 14
Direct
0.000 0.039 0.250 Li
0.000 0.961 0.750 Li
0.428 0.252 0.565 Mn
0.428 0.748 0.065 Mn
0.572 0.252 0.935 Mn
0.572 0.748 0.435 Mn
0.156 0.115 0.619 F
0.156 0.885 0.119 F
0.288 0.403 0.981 F
0.288 0.597 0.481 F
0.346 0.086 0.387 F
0.346 0.914 0.887 F
0.500 0.400 0.750 F
0.500 0.600 0.250 F
0.654 0.086 0.113 F
0.654 0.914 0.613 F
0.712 0.403 0.519 F
0.712 0.597 0.019 F
0.844 0.115 0.881 F
0.844 0.885 0.381 F
```